## MgGeN2O (PBE-GGA)

Data for crystalline MgGeN2O at its relaxed geometry.

Structure (POSCAR):
```
MgGeN2O
1.0
-2.848 -2.437 0.482
0.314 -1.081 -3.608
2.518 -2.737 1.039
Ge Mg O N
1 1 1 2
direct
0.000 0.000 0.000
0.500 0.500 0.500
0.000 0.000 0.500
0.000 0.500 0.000
0.500 0.000 0.000
```

Properties
space-group type = P4/mmm (123)
calculated total energy = -27.00 eV for the cell shown
spin magnetization = 1.46 μB per formula unit
ΔE_f (raw) = 0.164 eV per atom
N(E_F) = 0.4449 states/eV/atom